<a>
Ta2CoTcH PBE relaxed; DOS at the Fermi energy = 3.8 states/eV/f.u.
1.0
4.338 0.000 0.000
0.000 4.338 0.000
0.000 0.000 3.359
H Co Tc Ta
1 1 1 2
direct
0.000 0.000 0.000 H
0.000 0.000 0.500 Co
0.500 0.500 0.500 Tc
0.000 0.500 0.000 Ta
0.500 0.000 0.000 Ta

***

<b>
Ta2CoTcH PBE relaxed; DOS at the Fermi energy = 4.3 states/eV/f.u.
1.0
-4.090 -0.804 -0.639
0.224 -3.259 2.667
-0.858 2.183 2.740
H Co Tc Ta
1 1 1 2
direct
0.000 0.000 0.000 H
0.500 0.500 0.500 Co
0.000 0.000 0.500 Tc
0.000 0.500 0.000 Ta
0.500 0.000 0.000 Ta

***

Stability, descending: <a>, <b>

***

<a>
TaTi2CoH PBE relaxed; DOS at the Fermi energy = 6.6 states/eV/f.u.
1.0
4.327 0.000 0.000
0.000 4.327 0.000
0.000 0.000 3.367
H Ti Co Ta
1 2 1 1
direct
0.000 0.000 0.000 H
0.000 0.500 0.000 Ti
0.500 0.000 0.000 Ti
0.000 0.000 0.500 Co
0.500 0.500 0.500 Ta

***

<b>
TaTi2CoH PBE relaxed; DOS at the Fermi energy = 6.9 states/eV/f.u.
1.0
-1.017 -0.547 -3.657
0.195 -3.795 0.513
-4.172 -0.056 1.169
H Ti Co Ta
1 2 1 1
direct
0.000 0.000 0.000 H
0.000 0.500 0.000 Ti
0.500 0.000 0.000 Ti
0.500 0.500 0.500 Co
0.000 0.000 0.500 Ta

***

Stability, descending: <a>, <b>

***

<a>
TaVCo2H PBE relaxed; DOS at the Fermi energy = 3.6 states/eV/f.u.
1.0
3.706 0.000 0.000
0.000 3.706 0.000
0.000 0.000 3.922
H V Co Ta
1 1 2 1
direct
0.000 0.000 0.000 H
0.500 0.500 0.500 V
0.000 0.500 0.000 Co
0.500 0.000 0.000 Co
0.000 0.000 0.500 Ta

***

<b>
TaVCo2H PBE relaxed; DOS at the Fermi energy = 3.4 states/eV/f.u.
1.0
-0.060 -1.149 3.542
0.681 -3.486 -1.120
3.772 0.649 0.274
H V Co Ta
1 1 2 1
direct
0.000 0.000 0.000 H
0.000 0.000 0.500 V
0.000 0.500 0.000 Co
0.500 0.000 0.000 Co
0.500 0.500 0.500 Ta

***

Stability, descending: <b>, <a>

***

<a>
Ta2CoHW PBE relaxed; DOS at the Fermi energy = 3.2 states/eV/f.u.
1.0
4.398 0.000 0.000
0.000 4.398 0.000
0.000 0.000 3.354
H Co W Ta
1 1 1 2
direct
0.000 0.000 0.000 H
0.000 0.000 0.500 Co
0.500 0.500 0.500 W
0.000 0.500 0.000 Ta
0.500 0.000 0.000 Ta

***

<b>
Ta2CoHW PBE relaxed; DOS at the Fermi energy = 3.8 states/eV/f.u.
1.0
4.299 0.000 0.000
0.000 4.299 0.000
0.000 0.000 3.599
H Co W Ta
1 1 1 2
direct
0.000 0.000 0.000 H
0.500 0.500 0.500 Co
0.000 0.000 0.500 W
0.000 0.500 0.000 Ta
0.500 0.000 0.000 Ta

***

Stability, descending: <a>, <b>